{"formula": "PmEu2Ho", "functional": "GGA-PBE", "state": "optimized geometry", "cell": [[3.5922, 0.0000, 0.0000], [1.7961, 3.1109, 0.0000], [1.7961, 1.0370, 12.9846]], "species": ["Eu", "Eu", "Ho", "Pm"], "fractional_positions": [[0.0863, 0.0863, 0.7412], [0.9137, 0.9137, 0.2588], [0.0000, 0.0000, 0.0000], [0.5000, 0.5000, 0.5000]], "space_group": "R-3m, No. 166", "volume_a3_per_cell": 145.1, "e_form_ev_per_atom": 0.230, "magmom_total_mub_per_fu": 15.29, "energy_ev_per_cell": -29.0, "crystal_system": "trigonal", "e_above_lowest_polymorph_ev_per_atom": 0.120}